PrCu4N2 | PBE-GGA | optimized geometry

CIF file:
```
data_PrCu4N2
_chemical_formula_sum 'Pr1 Cu4 N2'
_symmetry_space_group_name_H-M 'P 1'
_symmetry_Int_Tables_number 1
_cell_length_a 3.8311
_cell_length_b 3.8311
_cell_length_c 7.5158
_cell_angle_alpha 104.64
_cell_angle_beta 104.64
_cell_angle_gamma 60.09
loop_
_symmetry_equiv_pos_as_xyz
'x,y,z'
loop_
_atom_site_label
_atom_site_type_symbol
_atom_site_fract_x
_atom_site_fract_y
_atom_site_fract_z
Pr1 Pr 0.0000 0.0000 0.0000
Cu1 Cu 0.1847 0.1847 0.5541
Cu2 Cu 0.4359 0.4359 0.3070
Cu3 Cu 0.5641 0.5641 0.6930
Cu4 Cu 0.8153 0.8153 0.4459
N1 N 0.2738 0.2738 0.8188
N2 N 0.7262 0.7262 0.1812
```

Crystal system: monoclinic
M_tot in μB/cell: 0.0
SG: C2/m
Calculated density in kg/m³: 7683
Energy in eV/atom: -5.189

---

RbCu4N2 | PBE-GGA | optimized geometry

CIF file:
```
data_RbCu4N2
_chemical_formula_sum 'Rb1 Cu4 N2'
_symmetry_space_group_name_H-M 'P 1'
_symmetry_Int_Tables_number 1
_cell_length_a 8.4486
_cell_length_b 8.4486
_cell_length_c 8.4486
_cell_angle_alpha 25.45
_cell_angle_beta 25.45
_cell_angle_gamma 25.45
loop_
_symmetry_equiv_pos_as_xyz
'x,y,z'
loop_
_atom_site_label
_atom_site_type_symbol
_atom_site_fract_x
_atom_site_fract_y
_atom_site_fract_z
Rb1 Rb 0.0000 0.0000 0.0000
Cu1 Cu 0.1510 0.1510 0.1510
Cu2 Cu 0.4364 0.4364 0.4364
Cu3 Cu 0.5636 0.5636 0.5636
Cu4 Cu 0.8490 0.8490 0.8490
N1 N 0.2366 0.2366 0.2366
N2 N 0.7634 0.7634 0.7634
```

Crystal system: trigonal
SG: R-3m
Calculated density in kg/m³: 6228
Energy in eV/atom: -4.018

---

Sc4CuSN2 | PBE-GGA | optimized geometry

CIF file:
```
data_Sc4CuSN2
_chemical_formula_sum 'Sc4 Cu1 S1 N2'
_symmetry_space_group_name_H-M 'P 1'
_symmetry_Int_Tables_number 1
_cell_length_a 3.2921
_cell_length_b 3.2921
_cell_length_c 12.5231
_cell_angle_alpha 90.00
_cell_angle_beta 90.00
_cell_angle_gamma 120.00
loop_
_symmetry_equiv_pos_as_xyz
'x,y,z'
loop_
_atom_site_label
_atom_site_type_symbol
_atom_site_fract_x
_atom_site_fract_y
_atom_site_fract_z
Sc1 Sc 0.0000 0.0000 0.1423
Sc2 Sc 0.0000 0.0000 0.8577
Sc3 Sc 0.6667 0.3333 0.3384
Sc4 Sc 0.6667 0.3333 0.6616
Cu1 Cu 0.0000 0.0000 0.5000
S1 S 0.6667 0.3333 0.0000
N1 N 0.3333 0.6667 0.2341
N2 N 0.3333 0.6667 0.7659
```

Crystal system: hexagonal
M_tot in μB/cell: 0.0
SG: P-6m2
Calculated density in kg/m³: 4287
Energy in eV/atom: -7.624